VASP calculation (PBE) on MgTl2SnSb2 after structural relaxation.

The symmetry is Pmc2_1, No. 26.

Cell: 4.798 7.585 10.057 Å, 90.00 90.00 90.00°
Element x y z (fractional)
Mg (0.500, 0.147, 0.661)
Mg (0.500, 0.647, 0.339)
Tl (0.500, 0.025, 0.086)
Tl (0.000, 0.347, 0.162)
Tl (0.500, 0.525, 0.914)
Tl (0.000, 0.847, 0.838)
Sn (0.000, 0.995, 0.452)
Sn (0.000, 0.495, 0.548)
Sb (0.000, 0.275, 0.796)
Sb (0.500, 0.258, 0.380)
Sb (0.000, 0.775, 0.204)
Sb (0.500, 0.758, 0.620)


VASP calculation (PBE) on SrMgSb after structural relaxation.

The symmetry is F-43m, No. 216. For the polymorph energy (0 for the lowest one), the calculation gives 436 meV/atom.

Cell: 5.350 5.350 5.350 Å, 60.00 60.00 60.00°
Element x y z (fractional)
Mg (0.000, 0.000, 0.000)
Sb (0.500, 0.500, 0.500)
Sr (0.750, 0.750, 0.750)


Formation energy (no corrections) in eV per formula unit, matching the order above: -0.63, -0.53